VASP calculation (PBE-GGA) on CaAgW2 after structural relaxation.

* offset from the most stable computed form: 0.00 kcal/mol of atoms
* symmetry: P4mm
* formation enthalpy at 0 K: 483 meV per atom
* total energy: -7.2069 eV per atom

POSCAR file:
```
CaAgW2
1.0
3.3023 0.0000 0.0000
0.0000 3.3023 0.0000
0.0000 0.0000 7.5223
Ca Ag W
1 1 2
direct
0.5000 0.5000 0.7551 Ca
0.0000 0.0000 0.4677 Ag
0.0000 0.0000 0.0604 W
0.5000 0.5000 0.2168 W
```